3
Lattice="-1.779 1.779 5.484 1.779 -1.779 5.484 1.779 1.779 -5.484" Properties=species:S:1:pos:R:3 comment="GdPuRu | Alexandria via LeMat-Bulk | PBE | relaxed" dos_ef_per_ev_atom=2.0522 e_form_ev_per_atom=-0.11 pbc="T T T"
Gd 0.000 0.000 0.000
Pu 0.000 0.000 3.142
Ru 0.000 0.000 7.419

---

17
Lattice="-4.188 4.188 4.188 4.188 -4.188 4.188 4.188 4.188 -4.188" Properties=species:S:1:pos:R:3 comment="ThSi12Pt4 | Alexandria via LeMat-Bulk | PBE | relaxed" e_form_raw_ev_per_atom=-0.480 dos_ef_per_ev_atom=0.5876 pbc="T T T"
Th 0.000 0.000 0.000
Si 3.004 0.000 1.244
Si 5.372 0.000 1.244
Si 4.188 2.944 -1.184
Si 1.244 3.004 0.000
Si 2.944 -1.184 4.188
Si 4.188 2.944 1.184
Si 0.000 1.244 3.004
Si 1.244 5.372 0.000
Si 2.944 1.184 4.188
Si 0.000 1.244 5.372
Si -1.184 4.188 2.944
Si 1.184 4.188 2.944
Pt 2.094 2.094 -2.094
Pt 2.094 -2.094 2.094
Pt -2.094 2.094 2.094
Pt 2.094 2.094 2.094

---

11
Lattice="3.705 -6.264 0.000 3.705 6.264 0.000 -2.037 0.000 4.872" Properties=species:S:1:pos:R:3 comment="Hf8Zn2P | Alexandria via LeMat-Bulk | PBE | relaxed" dos_ef_per_ev_atom=1.0115 e_form_ev_per_atom=-0.02 pbc="T T T"
Hf 0.222 1.457 3.209
Hf 3.705 3.591 0.000
Hf 0.222 -1.457 3.209
Hf 2.474 0.000 0.988
Hf 2.898 0.000 3.884
Hf 5.150 1.457 1.663
Hf 3.705 -3.591 0.000
Hf 5.150 -1.457 1.663
Zn 2.686 2.447 2.436
Zn 2.686 -2.447 2.436
P 0.000 0.000 0.000

---

10
Lattice="8.303 0.000 0.000 0.000 3.509 0.000 0.000 0.000 8.423" Properties=species:S:1:pos:R:3 comment="Y3HPb | Alexandria via LeMat-Bulk | PBE | relaxed" dos_ef_per_ev_atom=0.8744 e_tot_ev_per_fu=-28.14 pbc="T T T"
Y 0.429 0.000 1.848
Y 2.076 1.754 4.490
Y 3.723 0.000 1.848
Y 4.580 0.000 6.575
Y 6.227 1.754 3.933
Y 7.874 0.000 6.575
H 2.076 1.754 2.296
H 6.227 1.754 6.127
Pb 2.076 1.754 7.751
Pb 6.227 1.754 0.672

---

4
Lattice="3.988 0.000 0.000 0.000 2.185 5.703 0.000 -2.185 5.703" Properties=species:S:1:pos:R:3 comment="LaSmGaIr | Alexandria via LeMat-Bulk | PBE | relaxed" dos_ef_per_ev_atom=0.7574 e_form_ev_per_atom=-0.68 pbc="T T T"
La 0.000 0.000 0.000
Sm 1.994 0.000 8.190
Ga 0.000 0.000 3.380
Ir 1.994 0.000 5.126

---

8
Lattice="7.824 0.000 0.000 0.000 4.148 0.000 -2.373 0.000 7.896" Properties=species:S:1:pos:R:3 comment="La4CoI2Br | Alexandria via LeMat-Bulk | PBE | relaxed" e_form_raw_ev_per_atom=-0.907 dos_ef_per_ev_atom=0.9215 pbc="T T T"
La 1.082 0.000 1.485
La -0.003 2.074 6.236
La 5.454 2.074 1.660
La 4.369 0.000 6.411
Co 0.000 2.074 0.000
I -1.186 0.000 3.948
I 2.725 2.074 3.948
Br 3.912 0.000 0.000

---

3
Lattice="0.000 3.529 3.529 3.529 0.000 3.529 3.529 3.529 0.000" Properties=species:S:1:pos:R:3 comment="GdTlCd | Alexandria via LeMat-Bulk | PBE | relaxed" dos_ef_per_ev_atom=0.1030 e_form_ev_per_atom=-0.20 pbc="T T T"
Gd 0.000 0.000 0.000
Tl 1.764 1.764 1.764
Cd 3.529 3.529 3.529

---

4
Lattice="-2.060 2.060 3.481 2.060 -2.060 3.481 2.060 2.060 -3.481" Properties=species:S:1:pos:R:3 comment="LiZnAgPt | Alexandria via LeMat-Bulk | PBE | relaxed" dos_ef_per_ev_atom=0.3086 e_form_ev_per_atom=-0.40 pbc="T T T"
Li 0.000 0.000 0.000
Zn 0.000 0.000 3.481
Ag 2.060 0.000 1.740
Pt 0.000 2.060 1.740

---

5
Lattice="3.341 0.000 0.000 0.000 3.341 0.000 0.000 0.000 3.341" Properties=species:S:1:pos:R:3 comment="GaCoH3 | Alexandria via LeMat-Bulk | PBE | relaxed" dos_ef_per_ev_atom=0.3973 e_tot_ev_per_fu=-19.09 pbc="T T T"
Ga 0.000 0.000 0.000
Co 1.671 1.671 1.671
H 0.000 1.671 1.671
H 1.671 0.000 1.671
H 1.671 1.671 0.000

---

8
Lattice="0.000 3.982 5.800 3.981 0.000 5.800 3.981 3.982 0.000" Properties=species:S:1:pos:R:3 comment="SiAg2HgS4 | Alexandria via LeMat-Bulk | PBE | relaxed" e_form_raw_ev_per_atom=-0.319 dos_ef_per_ev_atom=0.0007 pbc="T T T"
Si 0.000 0.000 0.000
Ag 1.991 1.991 2.899
Ag 5.972 5.973 8.700
Hg 3.981 3.982 5.795
S 6.255 3.982 4.485
S 3.981 1.710 7.113
S 1.708 3.982 4.485
S 3.981 6.254 7.113

---

4
Lattice="1.695 -2.284 0.000 1.695 2.284 0.000 0.000 0.000 9.022" Properties=species:S:1:pos:R:3 comment="BeTcHg2 | Alexandria via LeMat-Bulk | PBE | relaxed" dos_ef_per_ev_atom=0.6119 e_form_ev_per_atom=0.47 pbc="T T T"
Be 0.000 0.000 0.000
Tc 1.695 0.000 1.546
Hg 0.000 0.000 3.944
Hg 1.695 0.000 6.945

---

24
Lattice="7.046 0.000 0.000 0.000 3.323 0.000 0.000 0.000 13.878" Properties=species:S:1:pos:R:3 comment="Na2AgH3 | Alexandria via LeMat-Bulk | PBE | relaxed" dos_ef_per_ev_atom=0.0000 e_tot_ev_per_fu=-16.05 pbc="T T T"
Na 0.554 0.831 3.109
Na 1.558 0.831 13.213
Na 1.965 2.492 6.274
Na 2.969 2.492 10.048
Na 4.077 0.831 3.830
Na 5.081 0.831 7.604
Na 5.487 2.492 0.665
Na 6.492 2.492 10.769
Ag 0.935 0.831 8.703
Ag 2.588 2.492 1.765
Ag 4.457 0.831 12.113
Ag 6.111 2.492 5.174
H 0.038 0.831 5.496
H 0.949 2.492 0.924
H 1.164 0.831 10.602
H 2.359 2.492 3.664
H 2.574 0.831 7.863
H 3.485 2.492 12.435
H 3.561 0.831 1.442
H 4.472 2.492 6.015
H 4.687 0.831 10.214
H 5.882 2.492 3.275
H 6.097 0.831 12.954
H 7.008 2.492 8.381